(1)
{"formula": "Na2YGa2", "functional": "GGA-PBE", "state": "optimized geometry", "lattice": [[8.466, 0.000, 0.000], [0.000, 8.466, 0.000], [0.000, 0.000, 3.243]], "species": ["Ga", "Ga", "Ga", "Ga", "Na", "Na", "Na", "Na", "Y", "Y"], "fractional_positions": [[0.811, 0.311, 0.500], [0.189, 0.689, 0.500], [0.689, 0.811, 0.500], [0.311, 0.189, 0.500], [0.614, 0.114, 0.000], [0.386, 0.886, 0.000], [0.114, 0.386, 0.000], [0.886, 0.614, 0.000], [0.500, 0.500, 0.000], [0.000, 0.000, 0.000]], "relative_energy_mev_per_atom": 140, "space_group": "No. 127", "formation_enthalpy_0k_mev_per_atom": 5, "magmom_total_mub_per_cell": 0.356}

(2)
{"formula": "NaY2Ga2", "functional": "GGA-PBE", "state": "optimized geometry", "lattice": [[8.218, 0.000, 0.000], [0.000, 8.218, 0.000], [0.000, 0.000, 3.691]], "species": ["Y", "Y", "Y", "Y", "Ga", "Ga", "Ga", "Ga", "Na", "Na"], "fractional_positions": [[0.178, 0.678, 0.500], [0.322, 0.178, 0.500], [0.822, 0.322, 0.500], [0.678, 0.822, 0.500], [0.383, 0.883, 0.000], [0.617, 0.117, 0.000], [0.883, 0.617, 0.000], [0.117, 0.383, 0.000], [0.000, 0.000, 0.000], [0.500, 0.500, 0.000]], "relative_energy_mev_per_atom": 0, "space_group": "No. 127", "formation_enthalpy_0k_mev_per_atom": -369, "magmom_total_mub_per_cell": 0.329}

> Number 1 is which compound?

Na2YGa2

> Number 1 is which compound?

Na2YGa2